1.
# TiV3H4

An optimized crystal structure of TiV3H4 (PBE, the Alexandria database).

Values from the calculation:
calculated total energy	-6.33	eV per atom

a b c (Å): 4.6095 4.5227 6.3789
angles (deg): 90.00 90.00 90.00
Atoms (fractional coordinates):
H 0.6411 0.6100 0.7602
H 0.1251 0.8583 0.0000
H 0.6252 0.1417 0.5000
H 0.6164 0.1267 0.0000
H 0.1411 0.3900 0.2602
H 0.6411 0.6100 0.2398
H 0.1164 0.8733 0.5000
H 0.1411 0.3900 0.7398
V 0.4974 0.2456 0.7507
V 0.9974 0.7544 0.7493
V 0.4972 0.7536 0.0000
V 0.4974 0.2456 0.2493
V 0.9974 0.7544 0.2507
V 0.9972 0.2464 0.5000
Ti 0.4994 0.7466 0.5000
Ti 0.9994 0.2534 0.0000

---

2.
# NaP2Pb2

An optimized crystal structure of NaP2Pb2 (PBE, the Alexandria database).

Values from the calculation:
formation energy from the elements	0.15	eV per formula unit

a b c (Å): 4.5744 4.5744 7.2075
angles (deg): 71.50 71.50 90.00
Atoms (fractional coordinates):
Pb 0.7500 0.2500 0.5000
Pb 0.2500 0.7500 0.5000
P 0.4185 0.4185 0.1630
P 0.5815 0.5815 0.8370
Na 0.0000 0.0000 0.0000

---

3.
# NdErPd2

An optimized crystal structure of NdErPd2 (PBE, the Alexandria database).

Values from the calculation:
energy above the most stable polymorph in this dataset	149	meV per atom
formation energy from the elements	-2.86	eV per formula unit

a b c (Å): 4.1611 4.1611 7.0497
angles (deg): 72.83 72.83 60.00
Atoms (fractional coordinates):
Er 0.0000 0.0000 0.0000
Pd 0.2560 0.2560 0.2319
Pd 0.7440 0.7440 0.7681
Nd 0.5000 0.5000 0.5000